VASP calculation (PBE) on BeNbSi3 after structural relaxation.

```
data_BeNbSi3
_symmetry_space_group_name_H-M 'P 1'
_symmetry_Int_Tables_number 1
_cell_length_a 4.8843
_cell_length_b 4.8843
_cell_length_c 4.8843
_cell_angle_alpha 90.00
_cell_angle_beta 90.00
_cell_angle_gamma 90.00
loop_
_symmetry_equiv_pos_as_xyz
'x,y,z'
loop_
_atom_site_label
_atom_site_fract_x
_atom_site_fract_y
_atom_site_fract_z
Be1 0.5000 0.5000 0.5000
Nb1 0.0000 0.0000 0.0000
Si1 0.0000 0.5000 0.0000
Si2 0.0000 0.0000 0.5000
Si3 0.5000 0.0000 0.0000
```

Calculated values
* space group: Pm-3m (221)
* E_form (uncorrected): 1.131 eV/atom
* DOS at the Fermi energy: 1.283 states/eV/atom
* M_tot: 0.000 Bohr magnetons per cell
* V: 116.5 Å³/cell